# CoAs4F18

A PBEsol-optimized structure of CoAs4F18 (SCAN, Alexandria).

- formation energy without anion corrections (eV/atom) = -2.19
- total magnetization (μB per formula unit) = 3.0
- E_tot (Ry per atom) = -0.678
- Fermi-level density of states (states/eV per atom) = 0.000

Unit cell a=7.2214 b=12.5129 c=10.0039 alpha=90.00 beta=133.57 gamma=90.00
Space group P2_1/c (No. 14)
One atom of each set of equivalent atoms:
1 Co 0.0000 0.0000 0.0000
2 As 0.0883 0.2131 0.5726
3 As 0.5000 0.0000 0.0000
4 As 0.5000 0.0000 0.5000
5 F 0.0219 0.1556 0.9603
6 F 0.0293 0.7440 0.3327
7 F 0.2036 0.0321 0.2661
8 F 0.2211 0.0508 0.7858
9 F 0.3206 0.5380 0.5582
10 F 0.3235 0.5522 0.0446
11 F 0.4027 0.2488 0.7621
12 F 0.4388 0.6236 0.3994
13 F 0.4900 0.1249 0.5709